{"formula": "Y2HfBiMo", "functional": "PBE-GGA", "state": "optimized geometry", "lattice_angstrom": [[5.498, 0.000, 0.000], [0.000, 5.498, 0.000], [0.000, 0.000, 5.513]], "species": ["Y", "Y", "Hf", "Bi", "Mo"], "frac_coords": [[0.000, 0.500, 0.000], [0.500, 0.000, 0.000], [0.000, 0.000, 0.000], [0.000, 0.000, 0.500], [0.500, 0.500, 0.500]], "total_energy_ev_per_atom": -6.25, "formation_energy_ev_per_atom": 1.273, "m_tot_mub_per_fu": 4.52}

---

{"formula": "La2SmTm", "functional": "PBE-GGA", "state": "optimized geometry", "lattice_angstrom": [[0.000, 4.115, 4.115], [4.115, 0.000, 4.115], [4.115, 4.115, 0.000]], "species": ["La", "La", "Sm", "Tm"], "frac_coords": [[0.250, 0.250, 0.250], [0.750, 0.750, 0.750], [0.000, 0.000, 0.000], [0.500, 0.500, 0.500]], "total_energy_ev_per_atom": -4.67, "formation_energy_ev_per_atom": 0.094, "m_tot_mub_per_fu": 0.00}

---

{"formula": "Ac2CuBiSe5", "functional": "PBE-GGA", "state": "optimized geometry", "lattice_angstrom": [[2.135, -9.094, 0.000], [2.135, 9.094, 0.000], [0.000, 0.000, 12.658]], "species": ["Ac", "Ac", "Ac", "Ac", "Cu", "Cu", "Bi", "Bi", "Se", "Se", "Se", "Se", "Se", "Se", "Se", "Se", "Se", "Se"], "frac_coords": [[0.114, 0.886, 0.500], [0.118, 0.882, 0.120], [0.882, 0.118, 0.620], [0.886, 0.114, 0.000], [0.499, 0.501, 0.797], [0.501, 0.499, 0.297], [0.189, 0.811, 0.816], [0.811, 0.189, 0.316], [0.038, 0.962, 0.874], [0.292, 0.708, 0.476], [0.298, 0.702, 0.150], [0.357, 0.643, 0.814], [0.494, 0.506, 0.103], [0.506, 0.494, 0.603], [0.643, 0.357, 0.314], [0.702, 0.298, 0.650], [0.708, 0.292, 0.976], [0.962, 0.038, 0.374]], "total_energy_ev_per_atom": -5.00, "m_tot_mub_per_fu": 0.00}

---

{"formula": "Ti5Al3Zn", "functional": "PBE-GGA", "state": "optimized geometry", "lattice_angstrom": [[7.903, 0.000, 0.000], [-3.951, 6.844, 0.000], [0.000, 0.000, 5.425]], "species": ["Ti", "Ti", "Ti", "Ti", "Ti", "Ti", "Ti", "Ti", "Ti", "Ti", "Al", "Al", "Al", "Al", "Al", "Al", "Zn", "Zn"], "frac_coords": [[0.000, 0.306, 0.250], [0.000, 0.694, 0.750], [0.306, 0.000, 0.250], [0.306, 0.306, 0.750], [0.333, 0.667, 0.000], [0.333, 0.667, 0.500], [0.667, 0.333, 0.000], [0.667, 0.333, 0.500], [0.694, 0.000, 0.750], [0.694, 0.694, 0.250], [0.000, 0.360, 0.750], [0.000, 0.640, 0.250], [0.360, 0.000, 0.750], [0.360, 0.360, 0.250], [0.640, 0.000, 0.250], [0.640, 0.640, 0.750], [0.000, 0.000, 0.000], [0.000, 0.000, 0.500]], "total_energy_ev_per_atom": -6.08, "formation_energy_ev_per_atom": -0.309, "m_tot_mub_per_fu": 0.00}

---

{"formula": "YHg2H2", "functional": "PBE-GGA", "state": "optimized geometry", "lattice_angstrom": [[-1.780, 1.780, 6.728], [1.780, -1.780, 6.728], [1.780, 1.780, -6.728]], "species": ["Y", "Hg", "Hg", "H", "H"], "frac_coords": [[0.000, 0.000, 0.000], [0.350, 0.350, 0.000], [0.650, 0.650, 0.000], [0.250, 0.750, 0.500], [0.750, 0.250, 0.500]], "total_energy_ev_per_atom": -2.56, "m_tot_mub_per_fu": 0.63}

---

{"formula": "Rb2SiCl6F", "functional": "PBE-GGA", "state": "optimized geometry", "lattice_angstrom": [[-3.782, 3.782, 4.547], [3.782, -3.782, 4.547], [3.782, 3.782, -4.547]], "species": ["Rb", "Rb", "Si", "Cl", "Cl", "Cl", "Cl", "Cl", "Cl", "F"], "frac_coords": [[0.250, 0.750, 0.500], [0.750, 0.250, 0.500], [0.000, 0.000, 0.000], [0.209, 0.209, 0.417], [0.209, 0.791, 0.000], [0.247, 0.247, 0.000], [0.753, 0.753, 0.000], [0.791, 0.209, 0.000], [0.791, 0.791, 0.583], [0.500, 0.500, 0.000]], "total_energy_ev_per_atom": -3.34, "m_tot_mub_per_fu": 1.00}

---

{"formula": "PrGa6Co6", "functional": "PBE-GGA", "state": "optimized geometry", "lattice_angstrom": [[-2.535, 4.138, 4.346], [2.535, -4.138, 4.346], [2.535, 4.138, -4.346]], "species": ["Pr", "Ga", "Ga", "Ga", "Ga", "Ga", "Ga", "Co", "Co", "Co", "Co", "Co", "Co"], "frac_coords": [[0.000, 0.000, 0.000], [0.191, 0.691, 0.500], [0.344, 0.000, 0.344], [0.347, 0.347, 0.000], [0.653, 0.653, 0.000], [0.656, 0.000, 0.656], [0.809, 0.309, 0.500], [0.000, 0.000, 0.500], [0.000, 0.500, 0.000], [0.242, 0.500, 0.742], [0.500, 0.000, 0.000], [0.500, 0.500, 0.500], [0.758, 0.500, 0.258]], "total_energy_ev_per_atom": -5.33, "formation_energy_ev_per_atom": -0.288, "m_tot_mub_per_fu": 3.09}

---

{"formula": "Na2AgF3", "functional": "PBE-GGA", "state": "optimized geometry", "lattice_angstrom": [[-1.679, 2.410, 5.201], [1.679, -2.410, 5.201], [1.679, 2.410, -5.201]], "species": ["Na", "Na", "Ag", "F", "F", "F"], "frac_coords": [[0.166, 0.166, 0.000], [0.834, 0.834, 0.000], [0.500, 0.500, 0.000], [0.000, 0.500, 0.500], [0.318, 0.818, 0.500], [0.682, 0.182, 0.500]], "total_energy_ev_per_atom": -3.98, "m_tot_mub_per_fu": 0.00}

---

{"formula": "Na2BiAs2", "functional": "PBE-GGA", "state": "optimized geometry", "lattice_angstrom": [[8.658, 0.000, 0.000], [0.000, 8.658, 0.000], [0.000, 0.000, 3.181]], "species": ["Na", "Na", "Na", "Na", "Bi", "Bi", "As", "As", "As", "As"], "frac_coords": [[0.122, 0.378, 0.000], [0.378, 0.878, 0.000], [0.622, 0.122, 0.000], [0.878, 0.622, 0.000], [0.000, 0.000, 0.500], [0.500, 0.500, 0.500], [0.178, 0.678, 0.500], [0.322, 0.178, 0.500], [0.678, 0.822, 0.500], [0.822, 0.322, 0.500]], "total_energy_ev_per_atom": -3.33, "formation_energy_ev_per_atom": -0.162, "m_tot_mub_per_fu": 0.00}

---

{"formula": "LiCdNi3", "functional": "PBE-GGA", "state": "optimized geometry", "lattice_angstrom": [[4.747, 0.000, 0.000], [0.000, 4.747, 0.000], [0.000, 0.000, 4.747]], "species": ["Li", "Cd", "Ni", "Ni", "Ni"], "frac_coords": [[0.000, 0.000, 0.000], [0.500, 0.500, 0.500], [0.000, 0.500, 0.500], [0.500, 0.000, 0.500], [0.500, 0.500, 0.000]], "total_energy_ev_per_atom": -2.88, "formation_energy_ev_per_atom": 1.157, "m_tot_mub_per_fu": 0.74}

---

{"formula": "Cd2Co2Pt", "functional": "PBE-GGA", "state": "optimized geometry", "lattice_angstrom": [[6.291, 0.000, 0.000], [0.000, 6.291, 0.000], [0.000, 0.000, 4.129]], "species": ["Cd", "Cd", "Cd", "Cd", "Co", "Co", "Co", "Co", "Pt", "Pt"], "frac_coords": [[0.178, 0.322, 0.000], [0.322, 0.822, 0.000], [0.678, 0.178, 0.000], [0.822, 0.678, 0.000], [0.122, 0.622, 0.500], [0.378, 0.122, 0.500], [0.622, 0.878, 0.500], [0.878, 0.378, 0.500], [0.000, 0.000, 0.500], [0.500, 0.500, 0.500]], "total_energy_ev_per_atom": -4.25, "formation_energy_ev_per_atom": 0.165, "m_tot_mub_per_fu": 2.69}

---

{"formula": "Eu3Ir", "functional": "PBE-GGA", "state": "optimized geometry", "lattice_angstrom": [[3.590, 0.000, 0.000], [0.000, 3.840, 0.000], [0.000, 0.000, 10.078]], "species": ["Eu", "Eu", "Eu", "Ir"], "frac_coords": [[0.000, 0.000, 0.000], [0.000, 0.500, 0.347], [0.500, 0.000, 0.665], [0.500, 0.500, 0.866]], "total_energy_ev_per_atom": -9.92, "formation_energy_ev_per_atom": 0.006, "m_tot_mub_per_fu": 6.28}

---

{"formula": "DyBeBr", "functional": "PBE-GGA", "state": "optimized geometry", "lattice_angstrom": [[1.954, 1.128, 11.446], [-1.954, 1.128, 11.446], [0.000, -2.256, 11.446]], "species": ["Dy", "Dy", "Be", "Be", "Br", "Br"], "frac_coords": [[0.054, 0.054, 0.054], [0.946, 0.946, 0.946], [0.334, 0.334, 0.334], [0.666, 0.666, 0.666], [0.224, 0.224, 0.224], [0.776, 0.776, 0.776]], "total_energy_ev_per_atom": -4.20, "m_tot_mub_per_fu": 0.21}

---

{"formula": "PmErAs", "functional": "PBE-GGA", "state": "optimized geometry", "lattice_angstrom": [[3.996, 0.000, 0.000], [-1.998, 3.461, 0.000], [0.000, 0.000, 6.564]], "species": ["Pm", "Er", "As"], "frac_coords": [[0.000, 0.000, 0.000], [0.667, 0.333, 0.480], [0.333, 0.667, 0.728]], "total_energy_ev_per_atom": -5.49, "formation_energy_ev_per_atom": -0.838, "m_tot_mub_per_fu": 0.98}

---

{"formula": "La2MnW", "functional": "PBE-GGA", "state": "optimized geometry", "lattice_angstrom": [[3.633, 0.000, 0.000], [0.000, 4.746, 0.000], [0.000, 0.000, 5.224]], "species": ["La", "La", "Mn", "W"], "frac_coords": [[0.000, 0.000, 0.000], [0.500, 0.000, 0.500], [0.000, 0.500, 0.500], [0.500, 0.500, 0.000]], "total_energy_ev_per_atom": -7.18, "formation_energy_ev_per_atom": 0.815, "m_tot_mub_per_fu": 2.61}

---

{"formula": "BeZnCdCuIr", "functional": "PBE-GGA", "state": "optimized geometry", "lattice_angstrom": [[3.979, 0.000, 0.000], [-1.990, 3.446, 0.000], [0.000, 0.000, 5.642]], "species": ["Be", "Zn", "Cd", "Cu", "Ir"], "frac_coords": [[0.000, 0.000, 0.000], [0.667, 0.333, 0.293], [0.333, 0.667, 0.570], [0.667, 0.333, 0.833], [0.333, 0.667, 0.067]], "total_energy_ev_per_atom": -3.84, "formation_energy_ev_per_atom": -0.069, "m_tot_mub_per_fu": 0.00}

---

{"formula": "MgSnAs", "functional": "PBE-GGA", "state": "optimized geometry", "lattice_angstrom": [[2.172, 1.254, 9.375], [-2.172, 1.254, 9.375], [0.000, -2.509, 9.375]], "species": ["Mg", "Mg", "Sn", "Sn", "As", "As"], "frac_coords": [[0.132, 0.132, 0.132], [0.868, 0.868, 0.868], [0.370, 0.370, 0.370], [0.630, 0.630, 0.630], [0.232, 0.232, 0.232], [0.768, 0.768, 0.768]], "total_energy_ev_per_atom": -3.59, "formation_energy_ev_per_atom": -0.175, "m_tot_mub_per_fu": 0.00}

---

{"formula": "YNbTlO2", "functional": "PBE-GGA", "state": "optimized geometry", "lattice_angstrom": [[4.119, 0.000, 0.000], [0.000, 4.119, 0.000], [0.000, 0.000, 6.432]], "species": ["Y", "Nb", "Tl", "O", "O"], "frac_coords": [[0.000, 0.000, 0.000], [0.000, 0.000, 0.500], [0.500, 0.500, 0.000], [0.000, 0.500, 0.500], [0.500, 0.000, 0.500]], "total_energy_ev_per_atom": -6.60, "m_tot_mub_per_fu": 1.26}

---

{"formula": "LiCu2Cl", "functional": "PBE-GGA", "state": "optimized geometry", "lattice_angstrom": [[1.511, 0.873, 7.909], [-1.511, 0.873, 7.909], [0.000, -1.745, 7.909]], "species": ["Li", "Cu", "Cu", "Cl"], "frac_coords": [[0.000, 0.000, 0.000], [0.246, 0.246, 0.246], [0.754, 0.754, 0.754], [0.500, 0.500, 0.500]], "total_energy_ev_per_atom": -2.86, "m_tot_mub_per_fu": 0.00}

---

{"formula": "NdCu2Cl6", "functional": "PBE-GGA", "state": "optimized geometry", "lattice_angstrom": [[6.744, -5.176, 0.000], [6.744, 5.176, 0.000], [-2.475, 0.000, 6.403]], "species": ["Nd", "Nd", "Cu", "Cu", "Cu", "Cu", "Cl", "Cl", "Cl", "Cl", "Cl", "Cl", "Cl", "Cl", "Cl", "Cl", "Cl", "Cl"], "frac_coords": [[0.164, 0.836, 0.750], [0.836, 0.164, 0.250], [0.250, 0.368, 0.779], [0.368, 0.250, 0.279], [0.632, 0.750, 0.721], [0.750, 0.632, 0.221], [0.069, 0.172, 0.644], [0.171, 0.621, 0.983], [0.172, 0.069, 0.144], [0.231, 0.468, 0.495], [0.379, 0.829, 0.517], [0.468, 0.231, 0.995], [0.532, 0.769, 0.005], [0.621, 0.171, 0.483], [0.769, 0.532, 0.505], [0.828, 0.931, 0.856], [0.829, 0.379, 0.017], [0.931, 0.828, 0.356]], "total_energy_ev_per_atom": -3.90, "m_tot_mub_per_fu": 1.04}